Entry from the Alexandria database: an optimized crystal structure of SrCaZrCrO6 (GGA+U).

a b c (Å): 5.6698 5.6698 5.6698
angles (deg): 60.00 60.00 60.00
Sites, in units of the cell vectors:
Sr  0.0000  0.0000  0.0000
Ca  0.5000  0.5000  0.5000
Zr  0.7500  0.7500  0.7500
Cr  0.2500  0.2500  0.2500
O  0.0092  0.0092  0.4908
O  0.0092  0.4908  0.0092
O  0.0092  0.4908  0.4908
O  0.4908  0.0092  0.0092
O  0.4908  0.0092  0.4908
O  0.4908  0.4908  0.0092

## Properties
energy: -75.85 eV per cell
calculated volume: 129 Å³/cell
total magnetization: 2.00 μB per cell